Entry 1:
# SrLa2Co

A relaxed SrLa2Co crystal (PBE, the Alexandria database).

## Properties
DOS(E_F) ... 5.0 states/eV per cell
Formation energy from the elements ... 0.048 eV per atom

Cell and atoms, written as CIF:
```
data_SrLa2Co
_chemical_formula_sum 'Sr1 La2 Co1'
_space_group_name_H-M_alt 'P 1 2/m 1'
_space_group_IT_number 10
_cell_length_a 3.692
_cell_length_b 3.663
_cell_length_c 9.930
_cell_angle_alpha 90.00
_cell_angle_beta 96.71
_cell_angle_gamma 90.00
loop_
_space_group_symop_operation_xyz
'x,y,z'
'-x,-y,-z'
'-x,y,-z'
'x,-y,z'
loop_
_atom_site_label
_atom_site_type_symbol
_atom_site_fract_x
_atom_site_fract_y
_atom_site_fract_z
Sr1 Sr 0.000 0.000 0.000
La1 La 0.419 0.500 0.658
Co1 Co 0.000 0.000 0.500
```

***

Entry 2:
# Sr2LaCo

A relaxed Sr2LaCo crystal (PBE, the Alexandria database).

## Properties
DOS(E_F) ... 15.1 states/eV per cell
Formation energy from the elements ... 0.691 eV per atom

Cell and atoms, written as CIF:
```
data_Sr2LaCo
_chemical_formula_sum 'Sr4 La2 Co2'
_space_group_name_H-M_alt 'C 1 2/m 1'
_space_group_IT_number 12
_cell_length_a 6.744
_cell_length_b 11.895
_cell_length_c 3.824
_cell_angle_alpha 90.00
_cell_angle_beta 117.30
_cell_angle_gamma 90.00
loop_
_space_group_symop_operation_xyz
'x,y,z'
'-x,-y,-z'
'-x,y,-z'
'x,-y,z'
'x+1/2,y+1/2,z'
'-x+1/2,-y+1/2,-z'
'-x+1/2,y+1/2,-z'
'x+1/2,-y+1/2,z'
loop_
_atom_site_label
_atom_site_type_symbol
_atom_site_fract_x
_atom_site_fract_y
_atom_site_fract_z
Sr1 Sr 0.250 0.250 0.000
La1 La 0.000 0.000 0.500
Co1 Co 0.000 0.500 0.500
```

***

Entry 3:
# Sr2LaCo

A relaxed Sr2LaCo crystal (PBE, the Alexandria database).

## Properties
DOS(E_F) ... 13.0 states/eV per cell
Formation energy from the elements ... 0.578 eV per atom

Cell and atoms, written as CIF:
```
data_Sr2LaCo
_chemical_formula_sum 'Sr4 La2 Co2'
_space_group_name_H-M_alt 'I -4 m 2'
_space_group_IT_number 119
_space_group_name_Hall 'I -4 -2'
_cell_length_a 5.614
_cell_length_b 5.614
_cell_length_c 7.893
_cell_angle_alpha 90.00
_cell_angle_beta 90.00
_cell_angle_gamma 90.00
loop_
_atom_site_label
_atom_site_type_symbol
_atom_site_fract_x
_atom_site_fract_y
_atom_site_fract_z
Sr1 Sr 0.000 0.000 0.000
Sr2 Sr 0.000 0.500 0.250
La1 La 0.000 0.500 0.750
Co1 Co 0.000 0.000 0.500
```

***

Entry 4:
# SrLaCo

A relaxed SrLaCo crystal (PBE, the Alexandria database).

## Properties
DOS(E_F) ... 1.5 states/eV per cell
Formation energy from the elements ... 0.094 eV per atom

Cell and atoms, written as CIF:
```
data_SrLaCo
_chemical_formula_sum 'Sr1 La1 Co1'
_space_group_name_H-M_alt 'P 3 m 1'
_space_group_IT_number 156
_cell_length_a 4.0756
_cell_length_b 4.0756
_cell_length_c 6.8534
_cell_angle_alpha 90.00
_cell_angle_beta 90.00
_cell_angle_gamma 120.00
loop_
_space_group_symop_operation_xyz
'x,y,z'
'-y,x-y,z'
'-x+y,-x,z'
'-y,-x,z'
'-x+y,y,z'
'x,x-y,z'
loop_
_atom_site_label
_atom_site_type_symbol
_atom_site_fract_x
_atom_site_fract_y
_atom_site_fract_z
Sr1 Sr 0.0000 0.0000 0.0000
La1 La 0.3333 0.6667 0.4653
Co1 Co 0.6667 0.3333 0.2826
```

***

Entry 5:
# SrLaCo

A relaxed SrLaCo crystal (PBE, the Alexandria database).

## Properties
DOS(E_F) ... 10.3 states/eV per cell
Formation energy from the elements ... 0.131 eV per atom

Cell and atoms, written as CIF:
```
data_SrLaCo
_chemical_formula_sum 'Sr4 La4 Co4'
_space_group_name_H-M_alt 'F m m 2'
_space_group_IT_number 42
_space_group_name_Hall 'F 2 -2'
_cell_length_a 5.047
_cell_length_b 5.063
_cell_length_c 13.945
_cell_angle_alpha 90.00
_cell_angle_beta 90.00
_cell_angle_gamma 90.00
loop_
_atom_site_label
_atom_site_type_symbol
_atom_site_fract_x
_atom_site_fract_y
_atom_site_fract_z
Sr1 Sr 0.000 0.000 0.000
La1 La 0.000 0.000 0.246
Co1 Co 0.000 0.000 0.647
```

***

Entry 6:
# Sr2LaCo

A relaxed Sr2LaCo crystal (PBE, the Alexandria database).

## Properties
DOS(E_F) ... 18.4 states/eV per cell
Formation energy from the elements ... 0.294 eV per atom

Cell and atoms, written as CIF:
```
data_Sr2LaCo
_chemical_formula_sum 'Sr8 La4 Co4'
_space_group_name_H-M_alt 'I -4 2 d'
_space_group_IT_number 122
_space_group_name_Hall 'I -4 2bw'
_cell_length_a 11.466
_cell_length_b 11.466
_cell_length_c 4.954
_cell_angle_alpha 90.00
_cell_angle_beta 90.00
_cell_angle_gamma 90.00
loop_
_atom_site_label
_atom_site_type_symbol
_atom_site_fract_x
_atom_site_fract_y
_atom_site_fract_z
Sr1 Sr 0.100 0.250 0.125
La1 La 0.000 0.000 0.500
Co1 Co 0.000 0.000 0.000
```

***

Entry 7:
# SrLa2Co

A relaxed SrLa2Co crystal (PBE, the Alexandria database).

## Properties
DOS(E_F) ... 11.2 states/eV per cell
Formation energy from the elements ... -0.070 eV per atom

Cell and atoms, written as CIF:
```
data_SrLa2Co
_chemical_formula_sum 'Sr3 La6 Co3'
_space_group_name_H-M_alt 'R -3 m'
_space_group_IT_number 166
_space_group_name_Hall '-R 3 2"'
_cell_length_a 4.1151
_cell_length_b 4.1151
_cell_length_c 30.0883
_cell_angle_alpha 90.00
_cell_angle_beta 90.00
_cell_angle_gamma 120.00
loop_
_atom_site_label
_atom_site_type_symbol
_atom_site_fract_x
_atom_site_fract_y
_atom_site_fract_z
Sr1 Sr 0.0000 0.0000 0.0000
La1 La 0.0000 0.0000 0.2147
Co1 Co 0.0000 0.0000 0.5000
```

***

Entry 8:
# SrLa2Co

A relaxed SrLa2Co crystal (PBE, the Alexandria database).

## Properties
DOS(E_F) ... 12.2 states/eV per cell
Formation energy from the elements ... -0.072 eV per atom

Cell and atoms, written as CIF:
```
data_SrLa2Co
_chemical_formula_sum 'Sr3 La6 Co3'
_space_group_name_H-M_alt 'R 3 m'
_space_group_IT_number 160
_space_group_name_Hall 'R 3 -2"'
_cell_length_a 4.1145
_cell_length_b 4.1145
_cell_length_c 29.7984
_cell_angle_alpha 90.00
_cell_angle_beta 90.00
_cell_angle_gamma 120.00
loop_
_atom_site_label
_atom_site_type_symbol
_atom_site_fract_x
_atom_site_fract_y
_atom_site_fract_z
Sr1 Sr 0.0000 0.0000 0.0000
La1 La 0.0000 0.0000 0.5470
La2 La 0.0000 0.0000 0.7829
Co1 Co 0.0000 0.0000 0.1647
```

***

Entry 9:
# Sr2LaCo

A relaxed Sr2LaCo crystal (PBE, the Alexandria database).

## Properties
DOS(E_F) ... 14.8 states/eV per cell
Formation energy from the elements ... 0.665 eV per atom

Cell and atoms, written as CIF:
```
data_Sr2LaCo
_chemical_formula_sum 'Sr4 La2 Co2'
_space_group_name_H-M_alt 'C m m m'
_space_group_IT_number 65
_space_group_name_Hall '-C 2 2'
_cell_length_a 7.143
_cell_length_b 9.759
_cell_length_c 3.976
_cell_angle_alpha 90.00
_cell_angle_beta 90.00
_cell_angle_gamma 90.00
loop_
_atom_site_label
_atom_site_type_symbol
_atom_site_fract_x
_atom_site_fract_y
_atom_site_fract_z
Sr1 Sr 0.250 0.250 0.000
La1 La 0.000 0.000 0.500
Co1 Co 0.000 0.500 0.500
```

***

Entry 10:
# SrLa2Co

A relaxed SrLa2Co crystal (PBE, the Alexandria database).

## Properties
DOS(E_F) ... 15.0 states/eV per cell
Formation energy from the elements ... 0.573 eV per atom

Cell and atoms, written as CIF:
```
data_SrLa2Co
_chemical_formula_sum 'Sr2 La4 Co2'
_space_group_name_H-M_alt 'C 1 2/m 1'
_space_group_IT_number 12
_cell_length_a 6.600
_cell_length_b 11.506
_cell_length_c 3.661
_cell_angle_alpha 90.00
_cell_angle_beta 117.88
_cell_angle_gamma 90.00
loop_
_space_group_symop_operation_xyz
'x,y,z'
'-x,-y,-z'
'-x,y,-z'
'x,-y,z'
'x+1/2,y+1/2,z'
'-x+1/2,-y+1/2,-z'
'-x+1/2,y+1/2,-z'
'x+1/2,-y+1/2,z'
loop_
_atom_site_label
_atom_site_type_symbol
_atom_site_fract_x
_atom_site_fract_y
_atom_site_fract_z
Sr1 Sr 0.000 0.000 0.000
La1 La 0.250 0.250 0.500
Co1 Co 0.000 0.500 0.000
```

***

Entry 11:
# Sr3LaCo

A relaxed Sr3LaCo crystal (PBE, the Alexandria database).

## Properties
DOS(E_F) ... 14.3 states/eV per cell
Formation energy from the elements ... 1.458 eV per atom

Cell and atoms, written as CIF:
```
data_Sr3LaCo
_chemical_formula_sum 'Sr3 La1 Co1'
_space_group_name_H-M_alt 'P m -3 m'
_space_group_IT_number 221
_space_group_name_Hall '-P 4 2 3'
_cell_length_a 6.159
_cell_length_b 6.159
_cell_length_c 6.159
_cell_angle_alpha 90.00
_cell_angle_beta 90.00
_cell_angle_gamma 90.00
loop_
_atom_site_label
_atom_site_type_symbol
_atom_site_fract_x
_atom_site_fract_y
_atom_site_fract_z
Sr1 Sr 0.000 0.000 0.500
La1 La 0.000 0.000 0.000
Co1 Co 0.500 0.500 0.500
```

***

Entry 12:
# Sr2LaCo

A relaxed Sr2LaCo crystal (PBE, the Alexandria database).

## Properties
DOS(E_F) ... 6.3 states/eV per cell
Formation energy from the elements ... 0.550 eV per atom

Cell and atoms, written as CIF:
```
data_Sr2LaCo
_chemical_formula_sum 'Sr2 La1 Co1'
_space_group_name_H-M_alt 'P m m m'
_space_group_IT_number 47
_cell_length_a 4.653
_cell_length_b 4.665
_cell_length_c 5.807
_cell_angle_alpha 90.00
_cell_angle_beta 90.00
_cell_angle_gamma 90.00
loop_
_space_group_symop_operation_xyz
'x,y,z'
'-x,-y,-z'
'-x,-y,z'
'x,y,-z'
'x,-y,-z'
'-x,y,z'
'-x,y,-z'
'x,-y,z'
loop_
_atom_site_label
_atom_site_type_symbol
_atom_site_fract_x
_atom_site_fract_y
_atom_site_fract_z
Sr1 Sr 0.000 0.000 0.000
Sr2 Sr 0.500 0.500 0.000
La1 La 0.000 0.500 0.500
Co1 Co 0.500 0.000 0.500
```

***

Entry 13:
# Sr2LaCo

A relaxed Sr2LaCo crystal (PBE, the Alexandria database).

## Properties
DOS(E_F) ... 12.8 states/eV per cell
Formation energy from the elements ... 0.572 eV per atom

Cell and atoms, written as CIF:
```
data_Sr2LaCo
_chemical_formula_sum 'Sr4 La2 Co2'
_space_group_name_H-M_alt 'I 4/m m m'
_space_group_IT_number 139
_space_group_name_Hall '-I 4 2'
_cell_length_a 4.651
_cell_length_b 4.651
_cell_length_c 11.748
_cell_angle_alpha 90.00
_cell_angle_beta 90.00
_cell_angle_gamma 90.00
loop_
_atom_site_label
_atom_site_type_symbol
_atom_site_fract_x
_atom_site_fract_y
_atom_site_fract_z
Sr1 Sr 0.000 0.500 0.250
La1 La 0.000 0.000 0.000
Co1 Co 0.000 0.000 0.500
```

***

Entry 14:
# SrLa2Co2

A relaxed SrLa2Co2 crystal (PBE, the Alexandria database).

## Properties
DOS(E_F) ... 6.1 states/eV per cell
Formation energy from the elements ... 0.231 eV per atom

Cell and atoms, written as CIF:
```
data_SrLa2Co2
_chemical_formula_sum 'Sr2 La4 Co4'
_space_group_name_H-M_alt 'P 4/m b m'
_space_group_IT_number 127
_space_group_name_Hall '-P 4 2ab'
_cell_length_a 8.424
_cell_length_b 8.424
_cell_length_c 3.357
_cell_angle_alpha 90.00
_cell_angle_beta 90.00
_cell_angle_gamma 90.00
loop_
_atom_site_label
_atom_site_type_symbol
_atom_site_fract_x
_atom_site_fract_y
_atom_site_fract_z
Sr1 Sr 0.000 0.000 0.000
La1 La 0.140 0.360 0.000
Co1 Co 0.153 0.653 0.500
```

***

Entry 15:
# SrLa2Co

A relaxed SrLa2Co crystal (PBE, the Alexandria database).

## Properties
DOS(E_F) ... 22.6 states/eV per cell
Formation energy from the elements ... 0.491 eV per atom

Cell and atoms, written as CIF:
```
data_SrLa2Co
_chemical_formula_sum 'Sr4 La8 Co4'
_space_group_name_H-M_alt 'F m -3 m'
_space_group_IT_number 225
_space_group_name_Hall '-F 4 2 3'
_cell_length_a 7.700
_cell_length_b 7.700
_cell_length_c 7.700
_cell_angle_alpha 90.00
_cell_angle_beta 90.00
_cell_angle_gamma 90.00
loop_
_atom_site_label
_atom_site_type_symbol
_atom_site_fract_x
_atom_site_fract_y
_atom_site_fract_z
Sr1 Sr 0.000 0.000 0.000
La1 La 0.250 0.250 0.250
Co1 Co 0.000 0.000 0.500
```